Record 1
Crystalline ScRe4Ir at its relaxed geometry, computed with PBE-GGA.

Calculated values
space-group type: F-43m, No. 216
energy of formation: 0.10 eV per atom
calculated volume: 98.82 Å³/cell

Cell lengths 5.1894, 5.1894, 5.1894 Å; angles 60.00, 60.00, 60.00 degrees
Fractional positions:
Sc1 0.0000 0.0000 0.0000
Re1 0.3746 0.3746 0.3746
Re2 0.3746 0.3746 0.8761
Re3 0.3746 0.8761 0.3746
Re4 0.8761 0.3746 0.3746
Ir1 0.7500 0.7500 0.7500

***

Record 2
Crystalline CoCuGeRu2 at its relaxed geometry, computed with PBE-GGA.

Calculated values
space-group type: P4/mmm, No. 123
energy of formation: 1.40 eV per atom
calculated volume: 84.96 Å³/cell

Cell lengths 4.4811, 4.4811, 4.2310 Å; angles 90.00, 90.00, 90.00 degrees
Fractional positions:
Co1 0.0000 0.0000 0.0000
Cu1 0.0000 0.0000 0.5000
Ge1 0.5000 0.5000 0.0000
Ru1 0.0000 0.5000 0.5000
Ru2 0.5000 0.0000 0.5000

***

Record 3
Crystalline SrNbBr at its relaxed geometry, computed with PBE-GGA.

Calculated values
space-group type: Immm, No. 71
energy relative to the lowest polymorph listed for this composition: 32.8 meV per atom
formation energy (no corrections): -599 meV/atom
calculated volume: 186.47 Å³/cell

Cell lengths 13.1281, 13.1281, 13.1281 Å; angles 163.34, 163.29, 23.68 degrees
Fractional positions:
Sr1 0.1218 0.1218 0.0000
Sr2 0.8782 0.8782 0.0000
Nb1 0.0000 0.5000 0.5000
Nb2 0.5000 0.0000 0.5000
Br1 0.3165 0.3165 0.0000
Br2 0.6835 0.6835 0.0000

***

Record 4
Crystalline TbPuTcNi at its relaxed geometry, computed with PBE-GGA.

Calculated values
space-group type: F-43m, No. 216
energy of formation: -0.02 eV per atom
calculated volume: 77.46 Å³/cell

Cell lengths 4.7847, 4.7847, 4.7847 Å; angles 60.00, 60.00, 60.00 degrees
Fractional positions:
Tb1 0.0000 0.0000 0.0000
Pu1 0.5000 0.5000 0.5000
Tc1 0.7500 0.7500 0.7500
Ni1 0.2500 0.2500 0.2500

***

Record 5
Crystalline Ca2Ga3Cu12Pd at its relaxed geometry, computed with PBE-GGA.

Calculated values
space-group type: R-3m, No. 166
energy of formation: 0.25 eV per atom
calculated volume: 319.82 Å³/cell

Cell lengths 7.1237, 7.1237, 7.1237 Å; angles 72.48, 72.48, 72.48 degrees
Fractional positions:
Ca1 0.0977 0.0977 0.0977
Ca2 0.9023 0.9023 0.9023
Ga1 0.0000 0.5000 0.5000
Ga2 0.5000 0.0000 0.5000
Ga3 0.5000 0.5000 0.0000
Cu1 0.1125 0.1125 0.5105
Cu2 0.1125 0.5105 0.1125
Cu3 0.1546 0.6594 0.6594
Cu4 0.3406 0.3406 0.8454
Cu5 0.3406 0.8454 0.3406
Cu6 0.4895 0.8875 0.8875
Cu7 0.5105 0.1125 0.1125
Cu8 0.6594 0.1546 0.6594
Cu9 0.6594 0.6594 0.1546
Cu10 0.8454 0.3406 0.3406
Cu11 0.8875 0.4895 0.8875
Cu12 0.8875 0.8875 0.4895
Pd1 0.5000 0.5000 0.5000

***

Record 6
Crystalline Cr3Os at its relaxed geometry, computed with PBE-GGA.

Calculated values
space-group type: Pm-3m, No. 221
energy of formation: 0.19 eV per atom
calculated volume: 50.18 Å³/cell

Cell lengths 3.6885, 3.6885, 3.6885 Å; angles 90.00, 90.00, 90.00 degrees
Fractional positions:
Cr1 0.0000 0.0000 0.5000
Cr2 0.0000 0.5000 0.0000
Cr3 0.5000 0.0000 0.0000
Os1 0.5000 0.5000 0.5000

***

no.,spin magnetization (μB/cell)
1,0.0
2,3.9
3,0.0
4,4.0
5,0.0
6,0.0